{"formula": "AlGaPb", "functional": "PBE", "state": "optimized geometry", "lattice_angstrom": [[5.510, 0.000, 0.000], [0.000, 4.155, 0.000], [-2.536, 0.000, 6.224]], "species": ["Al", "Al", "Ga", "Ga", "Pb", "Pb"], "fractional_positions": [[0.087, 0.250, 0.396], [0.913, 0.750, 0.604], [0.408, 0.750, 0.593], [0.592, 0.250, 0.407], [0.219, 0.250, 0.947], [0.781, 0.750, 0.053]], "vol_a3_per_atom": 23.8, "final_energy_ev_per_atom": -3.378, "magmom_total_mub_per_cell": 0.000, "rho_g_cm3": 7.08}